Run P
The following is a DFT calculation (PBE) of Tb2Pm4Mg after structural relaxation.

Properties
Its density of states at the Fermi level is 1.3735 states/eV/atom. As for the space group: P2_1/m, No. 11. As for the spin magnetization: 0.0 μB/f.u. The value obtained for the volume is 454.3 Å³ per cell.

The structure in POSCAR format:
```
Tb2Pm4Mg
1.0
-3.301 -0.760 5.022
5.442 -2.074 3.263
3.873 10.971 0.512
Pm Mg Tb
8 2 4
Cartesian
0.717 4.960 5.370 Pm
4.304 6.545 3.804 Pm
1.587 7.580 2.175 Pm
4.427 0.557 6.622 Pm
5.297 3.177 3.427 Pm
-1.403 0.097 5.815 Pm
7.417 8.040 2.982 Pm
1.710 1.592 4.993 Pm
1.770 7.995 5.544 Mg
4.245 0.142 3.253 Mg
3.874 10.094 3.367 Tb
2.084 3.939 2.442 Tb
2.140 -1.957 5.430 Tb
3.930 4.198 6.355 Tb
```



Run Q
The following is a DFT calculation (PBE) of Tb2Pm4Mg after structural relaxation.

Properties
Its density of states at the Fermi level is 1.3540 states/eV/atom. As for the space group: P2_1/c, No. 14. As for the spin magnetization: 0.0 μB/f.u. The value obtained for the volume is 914.6 Å³ per cell.

The structure in POSCAR format:
```
Tb2Pm4Mg
1.0
-3.513 -0.538 0.013
1.629 -10.167 19.232
1.947 10.819 5.554
Pm Tb Mg
16 8 4
Cartesian
-2.428 -1.608 3.986 Pm
1.050 -0.539 23.418 Pm
1.144 -1.379 12.499 Pm
-1.081 1.493 12.300 Pm
-0.032 6.076 4.122 Pm
-0.444 -2.679 15.625 Pm
-1.730 -6.114 15.353 Pm
0.095 -5.962 20.678 Pm
-2.067 -3.941 9.557 Pm
-0.987 0.653 1.381 Pm
-0.953 0.648 6.489 Pm
1.793 6.228 9.447 Pm
2.490 1.722 20.813 Pm
0.507 2.792 9.175 Pm
2.130 4.055 15.242 Pm
1.016 -0.534 18.311 Pm
0.212 4.808 12.270 Tb
0.841 0.769 15.173 Tb
-1.399 -7.967 18.186 Tb
-0.778 -0.655 9.627 Tb
1.462 8.081 6.614 Tb
0.527 2.593 3.952 Tb
-0.149 -4.694 12.530 Tb
-0.464 -2.480 20.847 Tb
-1.493 4.003 6.481 Mg
1.556 -3.889 18.319 Mg
-0.453 -2.738 6.725 Mg
0.516 2.852 18.074 Mg
```



Energies relative to the most stable structure, in kJ/mol of atoms: run P 3.3; run Q 0.0.



Run P
The following is a DFT calculation (PBE) of Tb2Pm3Mg after structural relaxation.

Properties
Its density of states at the Fermi level is 1.2012 states/eV/atom. As for the space group: P4/mmm, No. 123. As for the spin magnetization: 0.0 μB/f.u. The value obtained for the volume is 190.9 Å³ per cell.

The structure in POSCAR format:
```
Tb2Pm3Mg
1.0
-0.148 3.102 -1.880
-0.514 -1.880 -3.062
-14.331 0.564 2.059
Pm Mg Tb
3 1 2
Cartesian
-9.353 0.368 1.344 Pm
-4.978 0.196 0.715 Pm
0.000 0.000 0.000 Pm
-7.496 0.893 -1.442 Mg
-12.157 1.076 -0.772 Tb
-2.836 0.709 -2.111 Tb
```



Run Q
The following is a DFT calculation (PBE) of Tb2Pm3Mg after structural relaxation.

Properties
Its density of states at the Fermi level is 1.2955 states/eV/atom. As for the space group: C2/c, No. 15. As for the spin magnetization: 0.0 μB/f.u. The value obtained for the volume is 383.0 Å³ per cell.

The structure in POSCAR format:
```
Tb2Pm3Mg
1.0
-0.780 3.479 6.090
2.799 -4.663 3.022
8.063 2.211 -4.319
Mg Pm Tb
2 6 4
Cartesian
0.597 -0.706 1.560 Mg
1.422 -0.478 7.552 Mg
1.812 -2.217 4.507 Pm
2.883 0.515 -0.945 Pm
7.199 0.512 5.737 Pm
0.207 1.033 4.604 Pm
5.994 1.976 2.707 Pm
4.088 -0.949 2.085 Pm
7.578 -1.193 2.661 Tb
6.371 0.279 -0.354 Tb
2.504 2.220 2.131 Tb
3.711 0.748 5.146 Tb
```



Energies relative to the most stable structure, in kJ/mol of atoms: run P 0.0; run Q 3.6.



Run P
The following is a DFT calculation (PBE) of Tb2Pm8Mg after structural relaxation.

Properties
Its density of states at the Fermi level is 1.5593 states/eV/atom. As for the space group: Cm, No. 8. As for the spin magnetization: 0.0 μB/f.u. The value obtained for the volume is 379.1 Å³ per cell.

The structure in POSCAR format:
```
Tb2Pm8Mg
1.0
-3.071 2.284 -3.943
-8.433 -0.832 6.039
-2.997 5.590 5.550
Pm Mg Tb
8 1 2
Cartesian
-6.214 4.948 3.858 Pm
-8.236 2.100 3.751 Pm
-11.902 4.394 7.912 Pm
-6.659 4.846 0.312 Pm
-5.872 2.007 -1.936 Pm
-10.864 4.486 3.355 Pm
-5.579 -0.550 3.993 Pm
-2.548 2.653 -0.303 Pm
-11.472 1.455 2.073 Mg
-5.433 2.175 1.639 Tb
-9.017 4.872 5.970 Tb
```



Run Q
The following is a DFT calculation (PBE) of Tb2Pm8Mg after structural relaxation.

Properties
Its density of states at the Fermi level is 1.3962 states/eV/atom. As for the space group: C2/m, No. 12. As for the spin magnetization: 0.0 μB/f.u. The value obtained for the volume is 363.2 Å³ per cell.

The structure in POSCAR format:
```
Tb2Pm8Mg
1.0
5.107 0.000 0.000
0.000 8.037 0.468
-2.553 -2.936 8.680
Pm Tb Mg
8 2 1
Cartesian
2.553 3.075 1.782 Pm
0.000 2.026 7.365 Pm
2.553 6.247 3.575 Pm
0.000 -1.147 5.572 Pm
0.000 0.657 2.458 Pm
0.000 5.544 1.133 Pm
2.553 4.443 6.689 Pm
2.553 -0.444 8.015 Pm
0.000 3.779 4.208 Tb
2.553 1.321 4.939 Tb
2.553 0.000 0.000 Mg
```



Energies relative to the most stable structure, in kJ/mol of atoms: run P 13.6; run Q 0.0.



Run P
The following is a DFT calculation (PBE) of TbPmMg4 after structural relaxation.

Properties
Its density of states at the Fermi level is 1.2506 states/eV/atom. As for the space group: C2/m, No. 12. As for the spin magnetization: 0.0 μB/f.u. The value obtained for the volume is 158.9 Å³ per cell.

The structure in POSCAR format:
```
TbPmMg4
1.0
3.335 0.000 0.965
2.164 6.709 -1.232
-0.480 -3.411 7.907
Pm Mg Tb
1 4 1
Cartesian
0.000 0.000 0.000 Pm
1.924 -2.181 5.843 Mg
3.447 0.379 6.826 Mg
1.572 2.919 0.813 Mg
3.095 5.479 1.796 Mg
2.510 1.649 3.820 Tb
```



Run Q
The following is a DFT calculation (PBE) of TbPmMg4 after structural relaxation.

Properties
Its density of states at the Fermi level is 1.0401 states/eV/atom. As for the space group: F-43m, No. 216. As for the spin magnetization: 0.0 μB/f.u. The value obtained for the volume is 158.6 Å³ per cell.

The structure in POSCAR format:
```
TbPmMg4
1.0
6.075 0.000 0.000
3.038 5.261 0.000
3.038 1.754 4.961
Mg Tb Pm
4 1 1
Cartesian
7.595 4.385 3.101 Mg
6.075 1.753 3.101 Mg
6.075 3.508 0.619 Mg
4.555 4.385 3.101 Mg
0.000 0.000 0.000 Tb
3.038 1.754 1.240 Pm
```



Energies relative to the most stable structure, in kJ/mol of atoms: run P 3.6; run Q 0.0.



Run P
The following is a DFT calculation (PBE) of Tb4Pm3Mg after structural relaxation.

Properties
Its density of states at the Fermi level is 1.3094 states/eV/atom. As for the space group: Pmn2_1, No. 31. As for the spin magnetization: 0.0 μB/f.u. The value obtained for the volume is 511.2 Å³ per cell.

The structure in POSCAR format:
```
Tb4Pm3Mg
1.0
6.282 0.000 0.000
0.000 7.142 0.000
0.000 0.000 11.393
Tb Pm Mg
8 6 2
Cartesian
1.664 0.917 0.000 Tb
4.783 2.666 5.696 Tb
4.805 6.225 5.696 Tb
0.635 2.700 2.915 Tb
3.776 4.442 8.612 Tb
1.642 4.477 0.000 Tb
0.635 2.700 8.478 Tb
3.776 4.442 2.781 Tb
4.966 6.292 0.000 Pm
0.694 6.204 8.448 Pm
1.825 0.850 5.696 Pm
3.835 0.938 8.641 Pm
3.835 0.938 2.751 Pm
0.694 6.204 2.945 Pm
1.731 4.398 5.696 Mg
4.872 2.744 0.000 Mg
```



Run Q
The following is a DFT calculation (PBE) of Tb4Pm3Mg after structural relaxation.

Properties
Its density of states at the Fermi level is 1.3103 states/eV/atom. As for the space group: C2/m, No. 12. As for the spin magnetization: 0.0 μB/f.u. The value obtained for the volume is 260.1 Å³ per cell.

The structure in POSCAR format:
```
Tb4Pm3Mg
1.0
3.395 0.000 -0.428
-0.095 5.880 -0.756
-0.084 0.283 13.002
Tb Mg Pm
4 1 3
Cartesian
2.378 1.521 5.182 Tb
2.906 4.964 9.365 Tb
0.310 1.199 2.453 Tb
0.837 4.642 6.636 Tb
1.697 0.000 -0.214 Mg
0.413 4.304 3.274 Pm
2.802 1.859 8.544 Pm
-0.048 2.940 -0.378 Pm
```



Energies relative to the most stable structure, in kJ/mol of atoms: run P 0.0; run Q 16.7.